1.
First-principles (PBE-GGA) data for a relaxed structure of Ba2CdSb, as listed in the Alexandria database.

The structure in CIF format:
```
data_Ba2CdSb
_symmetry_space_group_name_H-M 'P 1'
_symmetry_Int_Tables_number 1
_symmetry_space_group_name_Hall 'P 1'
_cell_length_a 7.073
_cell_length_b 7.073
_cell_length_c 7.073
_cell_angle_alpha 142.45
_cell_angle_beta 135.40
_cell_angle_gamma 59.68
loop_
_atom_site_label
_atom_site_type_symbol
_atom_site_fract_x
_atom_site_fract_y
_atom_site_fract_z
Cd1 Cd 0.461 0.461 0.000
Sb1 Sb 0.289 0.789 0.500
Ba1 Ba 0.735 0.235 0.500
Ba2 Ba 0.016 0.016 0.000
```

## Properties
The excess energy over the best structure of this formula in the dataset comes out at 0.101 eV/atom. As for the energy relative to the elements, uncorrected: -0.61 eV/atom.

2.
First-principles (PBE-GGA) data for a relaxed structure of In3H12Pt5, as listed in the Alexandria database.

The structure in CIF format:
```
data_In3H12Pt5
_symmetry_space_group_name_H-M 'P 1'
_symmetry_Int_Tables_number 1
_symmetry_space_group_name_Hall 'P 1'
_cell_length_a 10.527
_cell_length_b 10.527
_cell_length_c 10.527
_cell_angle_alpha 109.47
_cell_angle_beta 109.47
_cell_angle_gamma 109.47
loop_
_atom_site_label
_atom_site_type_symbol
_atom_site_fract_x
_atom_site_fract_y
_atom_site_fract_z
Pt1 Pt 0.875 0.625 0.750
Pt2 Pt 0.125 0.375 0.250
Pt3 Pt 0.000 0.500 0.500
Pt4 Pt 0.875 0.250 0.625
Pt5 Pt 0.750 0.125 0.875
Pt6 Pt 0.500 0.500 0.500
Pt7 Pt 0.000 0.000 0.000
Pt8 Pt 0.375 0.250 0.125
Pt9 Pt 0.750 0.625 0.375
Pt10 Pt 0.375 0.125 0.750
Pt11 Pt 0.000 0.500 0.000
Pt12 Pt 0.250 0.375 0.625
Pt13 Pt 0.500 0.000 0.500
Pt14 Pt 0.500 0.000 0.000
Pt15 Pt 0.250 0.875 0.125
Pt16 Pt 0.000 0.000 0.500
Pt17 Pt 0.500 0.500 0.000
Pt18 Pt 0.125 0.750 0.375
Pt19 Pt 0.625 0.750 0.875
Pt20 Pt 0.625 0.875 0.250
In1 In 0.125 0.875 0.750
In2 In 0.625 0.250 0.375
In3 In 0.875 0.125 0.250
In4 In 0.875 0.750 0.125
In5 In 0.375 0.750 0.625
In6 In 0.750 0.875 0.625
In7 In 0.125 0.250 0.875
In8 In 0.625 0.375 0.750
In9 In 0.750 0.375 0.125
In10 In 0.250 0.125 0.375
In11 In 0.375 0.625 0.250
In12 In 0.250 0.625 0.875
H1 H 0.592 0.668 0.687
H2 H 0.408 0.332 0.313
H3 H 0.592 0.924 0.405
H4 H 0.908 0.095 0.576
H5 H 0.982 0.405 0.813
H6 H 0.924 0.332 0.518
H7 H 0.405 0.424 0.592
H8 H 0.092 0.187 0.168
H9 H 0.668 0.592 0.187
H10 H 0.332 0.408 0.813
H11 H 0.313 0.832 0.408
H12 H 0.595 0.576 0.408
H13 H 0.576 0.982 0.168
H14 H 0.905 0.813 0.482
H15 H 0.168 0.482 0.576
H16 H 0.092 0.905 0.424
H17 H 0.313 0.482 0.405
H18 H 0.832 0.518 0.424
H19 H 0.832 0.313 0.908
H20 H 0.482 0.168 0.076
H21 H 0.518 0.832 0.924
H22 H 0.018 0.424 0.332
H23 H 0.576 0.595 0.908
H24 H 0.424 0.018 0.832
H25 H 0.168 0.687 0.092
H26 H 0.905 0.092 0.924
H27 H 0.187 0.092 0.668
H28 H 0.518 0.687 0.095
H29 H 0.408 0.076 0.595
H30 H 0.076 0.668 0.482
H31 H 0.018 0.595 0.187
H32 H 0.595 0.018 0.687
H33 H 0.482 0.313 0.905
H34 H 0.813 0.905 0.982
H35 H 0.687 0.168 0.592
H36 H 0.332 0.924 0.018
H37 H 0.405 0.982 0.313
H38 H 0.424 0.405 0.092
H39 H 0.187 0.095 0.018
H40 H 0.076 0.408 0.095
H41 H 0.095 0.908 0.076
H42 H 0.687 0.518 0.595
H43 H 0.813 0.908 0.332
H44 H 0.924 0.592 0.905
H45 H 0.668 0.076 0.982
H46 H 0.982 0.576 0.668
H47 H 0.095 0.187 0.518
H48 H 0.908 0.813 0.832
```

## Properties
The energy comes out at -304.028 eV per cell.

3.
First-principles (PBE-GGA) data for a relaxed structure of PrPuZnAg, as listed in the Alexandria database.

The structure in CIF format:
```
data_PrPuZnAg
_symmetry_space_group_name_H-M 'P 1'
_symmetry_Int_Tables_number 1
_symmetry_space_group_name_Hall 'P 1'
_cell_length_a 5.236
_cell_length_b 5.236
_cell_length_c 5.236
_cell_angle_alpha 60.00
_cell_angle_beta 60.00
_cell_angle_gamma 60.00
loop_
_atom_site_label
_atom_site_type_symbol
_atom_site_fract_x
_atom_site_fract_y
_atom_site_fract_z
Ag1 Ag 0.750 0.750 0.750
Pr1 Pr 0.500 0.500 0.500
Pu1 Pu 0.000 0.000 0.000
Zn1 Zn 0.250 0.250 0.250
```

## Properties
For the formation energy, the calculation gives -0.063 eV per atom.